VASP calculation (PBE) on a relaxed CsHg4Au4 crystal.

```
CsHg4Au4
1.0
9.7231 0.0000 0.0000
0.0000 9.7231 0.0000
0.0000 0.0000 5.5171
Cs Hg Au
2 8 8
Cartesian
2.4308 2.4308 1.3793
7.2923 7.2923 4.1378
1.1633 6.0693 0.8440
1.2078 8.5598 3.6026
3.6537 6.0248 3.6026
3.6983 8.5153 0.8440
6.0248 1.2078 4.6730
6.0693 3.6983 1.9145
8.5153 1.1633 1.9145
8.5598 3.6537 4.6730
0.6945 8.9025 0.8754
0.8206 5.5560 3.6339
4.0410 9.0286 3.6339
4.1670 5.6821 0.8754
5.5560 4.0410 4.6417
5.6821 0.6945 1.8832
8.9025 4.1670 1.8832
9.0286 0.8206 4.6417
```

Summary:
VASP energy = -0.0646 hartree per atom
ΔH_f (0 K) = -0.072 eV per atom
Total moment = 0.00 μB/cell
D(E_F) = 5.43 states/eV per cell